No. 1
The following is a DFT calculation (PBE) of CsNa4 after structural relaxation.

Values from the calculation:
The calculation puts the volume at 520.6 Å³/cell. The value obtained for the formation energy is 0.0484 eV/atom. The calculation puts the excess energy over the best structure of this formula in the dataset at 0.002 eV per atom. Its crystal system is orthorhombic. As for the symmetry: No. 63. The energy comes out at -1.1776 eV/atom.

Geometry as CIF:
```
data_CsNa4
_cell_length_a 8.3048
_cell_length_b 8.3234
_cell_length_c 8.3234
_cell_angle_alpha 115.21
_cell_angle_beta 90.00
_cell_angle_gamma 90.00
_symmetry_space_group_name_H-M 'P 1'
_symmetry_Int_Tables_number 1
_symmetry_space_group_name_Hall 'P 1'
loop_
_atom_site_label
_atom_site_type_symbol
_atom_site_fract_x
_atom_site_fract_y
_atom_site_fract_z
Na1 Na 0.2500 0.8367 0.1633
Na2 Na 0.7500 0.1633 0.8367
Na3 Na 0.7500 0.4141 0.5859
Na4 Na 0.0000 0.2061 0.2061
Na5 Na 0.5000 0.7939 0.7939
Na6 Na 0.5000 0.2061 0.2061
Na7 Na 0.2500 0.5859 0.4141
Na8 Na 0.0000 0.7939 0.7939
Cs1 Cs 0.2500 0.2617 0.7383
Cs2 Cs 0.7500 0.7383 0.2617
```

No. 2
The following is a DFT calculation (PBE) of Cs12Na after structural relaxation.

Values from the calculation:
The calculation puts the volume at 1420.1 Å³/cell. The value obtained for the formation energy is 0.0214 eV/atom. Its crystal system is cubic. As for the symmetry: No. 204. The energy comes out at -0.8680 eV/atom.

Geometry as CIF:
```
data_Cs12Na
_cell_length_a 12.2644
_cell_length_b 12.2644
_cell_length_c 12.2644
_cell_angle_alpha 109.47
_cell_angle_beta 109.47
_cell_angle_gamma 109.47
_symmetry_space_group_name_H-M 'P 1'
_symmetry_Int_Tables_number 1
_symmetry_space_group_name_Hall 'P 1'
loop_
_atom_site_label
_atom_site_type_symbol
_atom_site_fract_x
_atom_site_fract_y
_atom_site_fract_z
Na1 Na 0.0000 0.0000 0.0000
Cs1 Cs 0.3090 0.4850 0.1760
Cs2 Cs 0.1760 0.3090 0.4850
Cs3 Cs 0.8240 0.3090 0.1331
Cs4 Cs 0.6910 0.5150 0.8240
Cs5 Cs 0.6910 0.8669 0.1760
Cs6 Cs 0.3090 0.1331 0.8240
Cs7 Cs 0.5150 0.8240 0.6910
Cs8 Cs 0.4850 0.1760 0.3090
Cs9 Cs 0.1331 0.8240 0.3090
Cs10 Cs 0.8669 0.1760 0.6910
Cs11 Cs 0.1760 0.6910 0.8669
Cs12 Cs 0.8240 0.6910 0.5150
```